Entry from Alexandria: a geometry-optimized Li2PuGa4 structure (GGA-PBE).

Computed properties:
- formation energy from the elements (meV per atom) = -317

Cell lengths 4.3010, 2.9093, 10.4264 Å; angles 98.02, 101.90, 90.00 degrees
Atoms (fractional coordinates):
Li 0.7914 0.7914 0.5828
Li 0.2086 0.2086 0.4172
Pu 0.5000 0.0000 0.0000
Ga 0.6548 0.6548 0.3096
Ga 0.3452 0.3452 0.6904
Ga 0.0829 0.5829 0.1659
Ga 0.9171 0.4171 0.8341

Entry from Alexandria: a geometry-optimized LiCa2CuH structure (GGA-PBE).

Computed properties:
- ΔE to the lowest computed polymorph (meV per atom) = 0

Cell lengths 5.0120, 5.0120, 3.8666 Å; angles 90.00, 90.00, 90.00 degrees
Atoms (fractional coordinates):
H 0.0000 0.0000 0.0000
Ca 0.0000 0.5000 0.0000
Ca 0.5000 0.0000 0.0000
Cu 0.5000 0.5000 0.5000
Li 0.0000 0.0000 0.5000

Entry from Alexandria: a geometry-optimized Ac2NdHoTm structure (GGA-PBE).

Computed properties:
- formation energy from the elements (meV per atom) = 272

Cell lengths 6.6413, 9.0416, 6.4356 Å; angles 89.99, 90.00, 90.00 degrees
Atoms (fractional coordinates):
Ac 0.7147 0.7026 0.7500
Ac 0.7147 0.2974 0.7500
Ac 0.2853 0.7026 0.2500
Ac 0.2853 0.2974 0.2500
Nd 0.5787 0.0000 0.2500
Nd 0.4213 0.0000 0.7500
Ho 0.1881 0.5000 0.7500
Ho 0.8119 0.5000 0.2500
Tm 0.0000 0.0000 0.0000
Tm 0.0000 0.0000 0.5000

Entry from Alexandria: a geometry-optimized VCrSiAu structure (GGA-PBE).

Computed properties:
- ΔE to the lowest computed polymorph (meV per atom) = 83
- formation energy from raw total energies (kcal/mol of atoms) = 0.5

Cell lengths 4.3216, 3.1760, 9.1808 Å; angles 90.00, 118.33, 90.00 degrees
Atoms (fractional coordinates):
Cr 0.0914 0.0000 0.9116
Cr 0.0914 0.5000 0.4116
Si 0.3298 0.0000 0.6516
Si 0.3298 0.5000 0.1516
Au 0.5795 0.0000 0.3997
Au 0.5795 0.5000 0.8997
V 0.8565 0.0000 0.1783
V 0.8565 0.5000 0.6783